Entry 1:
The following is a GGA-PBE calculation of an optimized crystal structure of Rb2SiB2O6, from the Alexandria database.

a = 4.959 Å, b = 4.959 Å, c = 7.100 Å
α = 110.37°, β = 110.37°, γ = 59.98°
Positions (direct):
Rb 0.211 0.211 0.135
Rb 0.789 0.789 0.865
Si 0.000 0.000 0.500
B 0.384 0.384 0.649
B 0.616 0.616 0.351
O 0.226 0.226 0.662
O 0.227 0.712 0.664
O 0.288 0.773 0.336
O 0.712 0.227 0.664
O 0.773 0.288 0.336
O 0.774 0.774 0.338

Properties
Total energy = -6.8281 eV per atom
Formation energy (no corrections) = -2.241 eV per atom

Entry 2:
The following is a GGA-PBE calculation of an optimized crystal structure of RbSmB2O6, from the Alexandria database.

a = 6.691 Å, b = 6.691 Å, c = 7.489 Å
α = 103.42°, β = 103.42°, γ = 98.01°
Positions (direct):
Rb 0.118 0.882 0.750
Rb 0.882 0.118 0.250
Sm 0.419 0.581 0.250
Sm 0.581 0.419 0.750
B 0.132 0.407 0.766
B 0.407 0.132 0.266
B 0.593 0.868 0.734
B 0.868 0.593 0.234
O 0.070 0.567 0.261
O 0.191 0.260 0.639
O 0.260 0.191 0.139
O 0.297 0.532 0.916
O 0.433 0.930 0.239
O 0.468 0.703 0.584
O 0.532 0.297 0.416
O 0.567 0.070 0.761
O 0.703 0.468 0.084
O 0.740 0.809 0.861
O 0.809 0.740 0.361
O 0.930 0.433 0.739

Properties
Total energy = -7.1423 eV per atom
Formation energy (no corrections) = -2.263 eV per atom

Entry 3:
The following is a GGA-PBE calculation of an optimized crystal structure of Rb2SmBO4, from the Alexandria database.

a = 13.317 Å, b = 12.255 Å, c = 6.387 Å
α = 85.01°, β = 66.45°, γ = 28.54°
Positions (direct):
Rb 0.057 0.057 0.693
Rb 0.307 0.307 0.943
Rb 0.693 0.693 0.057
Rb 0.943 0.943 0.307
Sm 0.125 0.125 0.125
Sm 0.875 0.875 0.875
B 0.375 0.375 0.375
B 0.625 0.625 0.625
O 0.096 0.581 0.496
O 0.328 0.496 0.581
O 0.419 0.904 0.672
O 0.496 0.328 0.096
O 0.504 0.672 0.904
O 0.581 0.096 0.328
O 0.672 0.504 0.419
O 0.904 0.419 0.504

Properties
Total energy = -6.1380 eV per atom
Formation energy (no corrections) = -1.992 eV per atom

Entry 4:
The following is a GGA-PBE calculation of an optimized crystal structure of Rb2SnB2O6, from the Alexandria database.

a = 7.140 Å, b = 7.140 Å, c = 7.140 Å
α = 43.54°, β = 43.54°, γ = 43.54°
Positions (direct):
Rb 0.209 0.209 0.209
Rb 0.791 0.791 0.791
Sn 0.000 0.000 0.000
B 0.394 0.394 0.394
B 0.606 0.606 0.606
O 0.246 0.246 0.700
O 0.246 0.700 0.246
O 0.300 0.754 0.754
O 0.700 0.246 0.246
O 0.754 0.300 0.754
O 0.754 0.754 0.300

Properties
Total energy = -6.5175 eV per atom
Formation energy (no corrections) = -2.059 eV per atom

Entry 5:
The following is a GGA-PBE calculation of an optimized crystal structure of Rb2SnBO5, from the Alexandria database.

a = 7.707 Å, b = 7.707 Å, c = 12.704 Å
α = 90.00°, β = 90.00°, γ = 156.15°
Positions (direct):
Rb 0.077 0.923 0.500
Rb 0.140 0.860 0.189
Rb 0.860 0.140 0.689
Rb 0.923 0.077 0.000
Sn 0.180 0.820 0.890
Sn 0.820 0.180 0.390
B 0.429 0.571 0.259
B 0.571 0.429 0.759
O 0.048 0.952 0.829
O 0.313 0.687 0.873
O 0.334 0.666 0.269
O 0.336 0.664 0.491
O 0.481 0.519 0.174
O 0.519 0.481 0.674
O 0.664 0.336 0.991
O 0.666 0.334 0.769
O 0.687 0.313 0.373
O 0.952 0.048 0.329

Properties
Total energy = -5.6859 eV per atom
Formation energy (no corrections) = -1.530 eV per atom

Entry 6:
The following is a GGA-PBE calculation of an optimized crystal structure of Rb2SrB2O6, from the Alexandria database.

a = 5.765 Å, b = 5.765 Å, c = 7.489 Å
α = 112.64°, β = 112.64°, γ = 59.98°
Positions (direct):
Rb 0.203 0.203 0.110
Rb 0.797 0.797 0.890
Sr 0.000 0.000 0.500
B 0.413 0.413 0.737
B 0.587 0.587 0.263
O 0.275 0.275 0.736
O 0.276 0.688 0.738
O 0.312 0.724 0.262
O 0.688 0.276 0.738
O 0.724 0.312 0.262
O 0.725 0.725 0.264

Properties
Total energy = -6.3768 eV per atom
Formation energy (no corrections) = -2.129 eV per atom

Entry 7:
The following is a GGA-PBE calculation of an optimized crystal structure of RbSr2B2O6, from the Alexandria database.

a = 5.826 Å, b = 6.140 Å, c = 6.519 Å
α = 97.43°, β = 114.74°, γ = 107.60°
Positions (direct):
Rb 0.000 0.000 0.000
Sr 0.373 0.290 0.670
Sr 0.627 0.710 0.330
B 0.296 0.743 0.720
B 0.704 0.257 0.280
O 0.126 0.862 0.644
O 0.316 0.641 0.901
O 0.455 0.719 0.616
O 0.545 0.281 0.384
O 0.684 0.359 0.099
O 0.874 0.138 0.356

Properties
Total energy = -6.7575 eV per atom
Formation energy (no corrections) = -2.445 eV per atom

Entry 8:
The following is a GGA-PBE calculation of an optimized crystal structure of RbSrBO3, from the Alexandria database.

a = 5.762 Å, b = 5.762 Å, c = 6.750 Å
α = 90.00°, β = 90.00°, γ = 120.00°
Positions (direct):
Rb 0.333 0.667 0.250
Rb 0.667 0.333 0.750
Sr 0.000 0.000 0.000
Sr 0.000 0.000 0.500
B 0.333 0.667 0.750
B 0.667 0.333 0.250
O 0.193 0.385 0.750
O 0.193 0.807 0.750
O 0.385 0.193 0.250
O 0.615 0.807 0.750
O 0.807 0.193 0.250
O 0.807 0.615 0.250

Properties
Total energy = -6.5144 eV per atom
Formation energy (no corrections) = -2.481 eV per atom

Entry 9:
The following is a GGA-PBE calculation of an optimized crystal structure of Rb2B2TeO6, from the Alexandria database.

a = 7.219 Å, b = 7.219 Å, c = 7.219 Å
α = 44.04°, β = 44.04°, γ = 44.04°
Positions (direct):
Rb 0.208 0.208 0.208
Rb 0.792 0.792 0.792
B 0.399 0.399 0.399
B 0.601 0.601 0.601
Te 0.000 0.000 0.000
O 0.253 0.253 0.699
O 0.253 0.699 0.253
O 0.301 0.747 0.747
O 0.699 0.253 0.253
O 0.747 0.301 0.747
O 0.747 0.747 0.301

Properties
Total energy = -6.2176 eV per atom
Formation energy (no corrections) = -1.838 eV per atom

Entry 10:
The following is a GGA-PBE calculation of an optimized crystal structure of RbThB2O6, from the Alexandria database.

a = 6.680 Å, b = 6.680 Å, c = 7.420 Å
α = 103.84°, β = 103.84°, γ = 96.75°
Positions (direct):
Rb 0.117 0.883 0.750
Rb 0.883 0.117 0.250
Th 0.402 0.598 0.250
Th 0.598 0.402 0.750
B 0.147 0.397 0.758
B 0.397 0.147 0.258
B 0.603 0.853 0.742
B 0.853 0.603 0.242
O 0.061 0.599 0.269
O 0.224 0.260 0.634
O 0.260 0.224 0.134
O 0.301 0.539 0.912
O 0.401 0.939 0.231
O 0.461 0.699 0.588
O 0.539 0.301 0.412
O 0.599 0.061 0.769
O 0.699 0.461 0.088
O 0.740 0.776 0.866
O 0.776 0.740 0.366
O 0.939 0.401 0.731

Properties
Total energy = -7.7435 eV per atom
Formation energy (no corrections) = -2.594 eV per atom

Entry 11:
The following is a GGA-PBE calculation of an optimized crystal structure of RbTi2BO6, from the Alexandria database.

a = 7.701 Å, b = 7.701 Å, c = 6.222 Å
α = 108.52°, β = 108.52°, γ = 95.61°
Positions (direct):
Rb 0.132 0.868 0.750
Rb 0.868 0.132 0.250
Ti 0.212 0.384 0.895
Ti 0.384 0.212 0.395
Ti 0.616 0.788 0.605
Ti 0.788 0.616 0.105
B 0.229 0.771 0.250
B 0.771 0.229 0.750
O 0.034 0.730 0.243
O 0.241 0.636 0.028
O 0.270 0.966 0.257
O 0.289 0.318 0.631
O 0.318 0.289 0.131
O 0.364 0.759 0.472
O 0.636 0.241 0.528
O 0.682 0.711 0.869
O 0.711 0.682 0.369
O 0.730 0.034 0.743
O 0.759 0.364 0.972
O 0.966 0.270 0.757

Properties
Total energy = -8.0291 eV per atom
Formation energy (no corrections) = -2.711 eV per atom

Entry 12:
The following is a GGA-PBE calculation of an optimized crystal structure of RbTiB2O6, from the Alexandria database.

a = 6.706 Å, b = 6.706 Å, c = 6.706 Å
α = 44.96°, β = 44.96°, γ = 44.96°
Positions (direct):
Rb 0.000 0.000 0.000
Ti 0.500 0.500 0.500
B 0.228 0.228 0.228
B 0.772 0.772 0.772
O 0.079 0.616 0.616
O 0.384 0.384 0.921
O 0.384 0.921 0.384
O 0.616 0.079 0.616
O 0.616 0.616 0.079
O 0.921 0.384 0.384

Properties
Total energy = -7.5692 eV per atom
Formation energy (no corrections) = -2.373 eV per atom